Entry 1:
5
Lattice="-0.052 1.804 3.319 -3.514 1.193 -0.704 -4.171 -3.842 4.173" Properties=species:S:1:pos:R:3 comment="Zn2Au2Se (GGA-PBE, relaxed)" formation_energy_uncorrected_ev_per_atom=-0.046 mass_density_g_cm3=10.8 e_above_lowest_polymorph_ev_per_atom=0.000 sg="I4/mmm, No. 139" magnetic_moment_mub_per_fu=0.000 pbc="T T T"
Zn -3.003 -0.270 4.400
Zn -4.734 -0.575 2.388
Au -2.306 0.330 1.935
Au -5.432 -1.175 4.853
Se 0.000 0.000 0.000

Entry 2:
4
Lattice="-3.431 0.372 1.479 -1.137 -3.049 -1.873 1.475 -3.136 4.211" Properties=species:S:1:pos:R:3 comment="Zn2AuSe (GGA-PBE, relaxed)" formation_energy_uncorrected_ev_per_atom=-0.172 mass_density_g_cm3=8.8 sg="P4mm, No. 99" magnetic_moment_mub_per_fu=0.000 pbc="T T T"
Au 0.554 -1.178 1.582
Se -0.994 -4.082 3.486
Zn 1.292 -2.747 3.689
Zn -1.733 -2.511 1.378

Entry 3:
4
Lattice="3.635 0.000 0.000 0.000 2.810 -0.005 0.000 0.015 7.176" Properties=species:S:1:pos:R:3 comment="Zn2AuSe (GGA-PBE, relaxed)" formation_energy_uncorrected_ev_per_atom=-0.123 mass_density_g_cm3=9.2 sg="Pmmm, No. 47" magnetic_moment_mub_per_fu=0.000 pbc="T T T"
Au 1.817 0.706 1.793
Se 1.817 2.119 5.378
Zn 0.000 2.110 0.172
Zn 0.000 2.112 3.408

Entry 4:
6
Lattice="3.257 -1.073 4.558 -1.778 -3.689 3.971 2.568 -5.064 0.542" Properties=species:S:1:pos:R:3 comment="ZnAuSe4 (GGA-PBE, relaxed)" formation_energy_uncorrected_ev_per_atom=0.633 mass_density_g_cm3=7.3 sg="F-43m, No. 216" magnetic_moment_mub_per_fu=0.000 pbc="T T T"
Zn 3.035 -7.370 6.803
Au 0.000 0.000 0.000
Se 3.144 -4.223 5.678
Se 2.800 -6.214 3.674
Se 0.632 -5.528 5.385
Se 1.519 -3.687 3.404

Entry 5:
5
Lattice="-2.730 3.020 -3.079 -4.249 -1.259 2.533 0.740 3.918 3.188" Properties=species:S:1:pos:R:3 comment="ZnAuSe3 (GGA-PBE, relaxed)" formation_energy_uncorrected_ev_per_atom=0.650 mass_density_g_cm3=6.2 e_above_lowest_polymorph_ev_per_atom=0.000 sg="Pm-3m, No. 221" magnetic_moment_mub_per_fu=0.000 pbc="T T T"
Zn -3.120 2.840 1.321
Au 0.000 0.000 0.000
Se -2.125 -0.629 1.267
Se 0.370 1.959 1.594
Se -1.365 1.510 -1.540

Entry 6:
4
Lattice="4.706 0.000 0.000 2.353 4.075 0.000 2.353 1.358 3.842" Properties=species:S:1:pos:R:3 comment="Zn2AuSe (GGA-PBE, relaxed)" formation_energy_uncorrected_ev_per_atom=0.199 mass_density_g_cm3=9.2 sg="F-43m, No. 216" magnetic_moment_mub_per_fu=0.000 pbc="T T T"
Au 4.706 2.717 1.921
Se 7.059 4.075 2.882
Zn 0.000 0.000 0.000
Zn 2.353 1.358 0.961

Entry 7:
4
Lattice="-3.100 -2.316 -5.307 1.625 -3.939 -4.999 -0.101 1.167 6.463" Properties=species:S:1:pos:R:3 comment="Zn2AuSe (GGA-PBE, relaxed)" formation_energy_uncorrected_ev_per_atom=-0.131 mass_density_g_cm3=8.9 sg="Imm2, No. 44" magnetic_moment_mub_per_fu=0.000 pbc="T T T"
Au -0.677 -2.872 -4.732
Se 0.450 -2.707 -1.444
Zn -0.057 -0.242 -0.398
Zn -2.029 -2.395 -2.421

Entry 8:
4
Lattice="-0.534 -4.469 -2.117 3.563 -2.879 1.939 -3.371 2.856 2.285" Properties=species:S:1:pos:R:3 comment="Zn2AuSe (GGA-PBE, relaxed)" formation_energy_uncorrected_ev_per_atom=0.094 mass_density_g_cm3=9.5 sg="I4/mmm, No. 139" magnetic_moment_mub_per_fu=0.000 pbc="T T T"
Au 0.853 -1.848 2.068
Se -1.196 -2.644 0.040
Zn 0.000 0.000 0.000
Zn 1.514 -3.674 -0.089